#i
PBE Dy3GaNi3, optimized geometry; space-group type = No. 176
1.0
5.3982 0.0000 0.0000
0.0000 8.2116 0.0000
0.0000 -4.1058 7.1115
Dy Ga Ni
6 2 6
Cartesian
4.0487 3.0886 4.6913
4.0487 2.6045 0.3291
4.0487 6.6243 2.0910
1.3496 1.0172 2.4201
1.3496 1.5013 6.7823
1.3496 -2.5185 5.0205
1.3496 4.1058 2.3705
4.0487 0.0000 4.7410
1.3496 2.9565 4.4275
1.3496 2.8990 0.3466
1.3496 6.4619 2.3373
4.0487 1.1493 2.6839
4.0487 1.2068 6.7648
4.0487 -2.3561 4.7741


#ii
PBE Dy3GaNi3, optimized geometry; space-group type = No. 63
1.0
4.1106 0.0000 0.0000
-2.0553 4.9343 0.0000
0.0000 0.0000 13.1207
Dy Ga Ni
6 2 6
Cartesian
0.0000 2.0895 11.7616
2.0553 2.8448 1.3591
0.0000 2.0895 7.9194
2.0553 2.8448 5.2013
0.0000 4.8810 9.8405
2.0553 0.0533 3.2802
2.0553 0.0000 0.0000
2.0553 0.0000 6.5603
2.0553 4.1631 11.9388
0.0000 0.7712 1.1819
2.0553 4.1631 7.7422
0.0000 0.7712 5.3784
2.0553 2.8576 9.8405
0.0000 2.0767 3.2802


List of relative energies, unit meV/atom: #i 315; #ii 0


#i
PBE DyGa3Ni, optimized geometry; space-group type = No. 65
1.0
4.5498 0.0000 0.0000
0.0000 6.1696 0.0000
0.0000 0.0000 6.7767
Dy Ga Ni
2 6 2
Cartesian
2.2749 0.0000 0.0000
2.2749 3.0848 3.3883
2.2749 3.0848 0.0000
2.2749 0.0000 3.3883
0.0000 4.6271 1.6943
0.0000 1.5424 1.6940
0.0000 1.5424 5.0824
0.0000 4.6272 5.0826
0.0000 3.0848 0.0000
0.0000 0.0000 3.3883


#ii
PBE DyGa3Ni, optimized geometry; space-group type = No. 99
1.0
-1.8585 3.2878 1.5597
-2.8441 -0.2199 -2.9256
-2.9548 -3.1452 3.1089
Dy Ga Ni
1 3 1
Cartesian
-4.8877 -1.1659 1.9858
-1.9297 -2.0540 2.0304
-1.9075 0.6027 1.8091
-2.4002 -1.1512 -0.4336
-0.2664 -0.2836 0.2803


#iii
PBE DyGa3Ni, optimized geometry; space-group type = No. 107
1.0
-3.8066 1.7289 0.0215
-0.6565 -1.4933 3.8496
-0.2864 4.3757 3.9189
Dy Ga Ni
1 3 1
Cartesian
-0.3283 4.2841 3.8763
-2.8907 3.6777 5.4744
-3.2072 3.0130 2.8922
-1.6321 1.4019 4.8063
-1.7273 1.2217 2.4498


List of relative energies, unit meV/atom: #i 251; #ii 52; #iii 0


#i
PBE DyGa3Ni3, optimized geometry; space-group type = No. 223
1.0
6.4162 0.0000 0.0000
0.0000 6.4162 0.0000
0.0000 0.0000 6.4162
Ni Ga Dy
6 6 2
Cartesian
1.6041 0.0000 3.2081
0.0000 3.2081 1.6041
3.2081 4.8122 0.0000
4.8122 0.0000 3.2081
0.0000 3.2081 4.8122
3.2081 1.6041 0.0000
0.0000 1.6041 3.2081
0.0000 4.8122 3.2081
3.2081 0.0000 4.8122
4.8122 3.2081 0.0000
3.2081 0.0000 1.6041
1.6041 3.2081 0.0000
3.2081 3.2081 3.2081
0.0000 0.0000 0.0000


#ii
PBE DyGa3Ni3, optimized geometry; space-group type = No. 148
1.0
6.4485 0.0000 0.0000
3.2242 5.5846 0.0000
3.2243 1.8615 6.0205
Dy Ga Ni
2 6 6
Cartesian
6.4485 3.7231 5.8598
6.4485 3.7231 0.1607
7.9356 5.2804 3.7670
7.0536 1.6565 3.7670
4.3563 4.2323 3.7670
8.5408 3.2139 2.2535
5.8434 5.7896 2.2535
4.9614 2.1658 2.2535
4.0013 4.3508 1.2376
7.1285 1.2899 1.2376
8.2157 5.5286 1.2376
4.6813 1.9176 4.7830
5.7685 6.1563 4.7830
8.8957 3.0954 4.7830


List of relative energies, unit meV/atom: #i 314; #ii 0


#i
PBE DyNp2Ga9, optimized geometry; space-group type = No. 166
1.0
5.4790 0.0000 0.0000
2.7395 4.7450 0.0000
2.7395 1.5817 8.9602
Dy Np Ga
1 2 9
Cartesian
0.0000 0.0000 0.0000
8.2185 4.7449 3.8699
2.7395 1.5817 5.0903
5.4790 3.1633 0.0496
5.4790 3.1633 8.9105
5.4790 3.1633 4.4801
4.0814 2.3564 2.2726
6.8766 2.3564 2.2726
5.4790 4.7772 2.2726
6.8766 3.9702 6.6876
5.4790 1.5494 6.6876
4.0813 3.9702 6.6876


#ii
PBE DyNp2Ga9, optimized geometry; space-group type = No. 123
1.0
-0.2408 3.5566 -2.3297
-3.7528 0.9190 1.7909
6.0243 6.4940 9.2915
Dy Np Ga
1 2 9
Cartesian
0.0000 0.0000 0.0000
2.0014 2.1574 3.0868
0.2702 5.2556 7.9956
-1.9968 2.2378 -0.2694
0.0191 4.4109 2.8398
2.0116 6.5588 5.9129
0.8913 2.8690 0.3956
2.8918 5.0253 3.4809
4.8922 7.1817 6.5662
-0.8647 1.5501 2.4559
1.1358 3.7065 5.5412
3.1362 5.8629 8.6265


List of relative energies, unit meV/atom: #i 139; #ii 0


#i
PBE Dy2GaO, optimized geometry; space-group type = No. 123
1.0
-0.9717 2.4274 -1.6630
-2.8559 -0.3563 1.1486
1.6804 4.4888 5.5702
O Ga Dy
1 1 2
Cartesian
-1.9138 1.0356 -0.2572
-1.0736 3.2799 2.5279
1.3227 3.5333 4.3846
0.3577 0.9554 1.1856


#ii
PBE Dy2GaO, optimized geometry; space-group type = No. 38
1.0
3.2586 0.0000 0.0000
0.0000 3.3641 0.0000
-1.6293 0.0000 7.3893
Dy Ga O
2 1 1
Cartesian
1.6293 1.6820 6.3401
0.0000 0.0000 3.5109
1.6293 0.0000 0.9016
1.6293 1.6820 4.0258


List of relative energies, unit meV/atom: #i 281; #ii 0


#i
PBE DyThGaOs, optimized geometry; space-group type = No. 38
1.0
4.1714 0.0000 0.0000
0.0000 3.9647 0.0000
-2.0857 0.0000 5.6833
Dy Th Ga Os
1 1 1 1
Cartesian
0.0000 0.0000 0.4239
2.0857 1.9824 2.9601
0.0000 1.9824 5.2877
0.0000 0.0000 3.4862


#ii
PBE DyThGaOs, optimized geometry; space-group type = No. 216
1.0
-3.8216 2.7263 1.8394
-4.3791 0.2041 -2.4905
-4.0734 -2.3092 1.8696
Os Ga Th Dy
1 1 1 1
Cartesian
-6.1371 0.3106 0.6093
0.0000 0.0000 0.0000
-3.0685 0.1553 0.3046
-9.2056 0.4659 0.9139


List of relative energies, unit meV/atom: #i 0; #ii 197


#i
PBE DyPa2Ga, optimized geometry; space-group type = No. 123
1.0
-3.3522 2.8796 2.4294
-2.5395 -3.4662 0.6046
2.0151 -0.8214 3.7542
Pa Ga Dy
2 1 1
Cartesian
1.0075 -0.4107 1.8771
-1.2697 -1.7331 0.3023
-1.6761 1.4398 1.2147
-1.9383 -0.7040 3.3941


#ii
PBE DyPa2Ga, optimized geometry; space-group type = No. 166
1.0
3.1609 0.0000 0.0000
1.5804 2.7374 0.0000
1.5804 0.9125 11.4189
Pa Ga Dy
2 1 1
Cartesian
1.5804 0.9125 8.2562
4.7413 2.7374 3.1627
3.1609 1.8249 5.7095
0.0000 0.0000 0.0000


List of relative energies, unit meV/atom: #i 0; #ii 251


#i
PBE DyPaGa4, optimized geometry; space-group type = No. 216
1.0
-3.8605 -2.5017 3.0503
-1.8239 -5.0111 -1.4242
1.3247 -4.3937 3.0670
Pa Ga Dy
1 4 1
Cartesian
-1.0899 -2.9766 1.1733
-3.3827 -5.2473 1.4032
-1.8142 -4.9397 3.6405
-2.7228 -7.4361 2.9310
-0.7996 -6.1898 1.4115
0.0000 0.0000 0.0000


#ii
PBE DyPaGa4, optimized geometry; space-group type = No. 119
1.0
3.9599 0.0000 -1.2227
-0.3776 3.9418 -1.2227
0.2540 0.2795 7.8459
Dy Pa Ga
1 1 4
Cartesian
0.8338 3.0961 2.7002
0.0000 0.0000 0.0000
2.6624 0.7509 1.5987
2.1280 2.3415 -0.1320
3.3426 1.4994 3.8017
1.7083 1.8798 5.5324


List of relative energies, unit meV/atom: #i 122; #ii 0


#i
PBE Dy2PaGa, optimized geometry; space-group type = No. 123
1.0
4.4839 0.0000 0.0000
0.0000 4.7131 0.0000
0.0000 0.0000 4.7131
Pa Ga Dy
1 1 2
Cartesian
2.2420 2.3566 2.3566
2.2420 0.0000 0.0000
0.0000 0.0000 2.3566
0.0000 2.3566 0.0000


#ii
PBE Dy2PaGa, optimized geometry; space-group type = No. 123
1.0
3.4116 0.0000 0.0000
0.0000 3.4116 0.0000
0.0000 0.0000 8.7491
Pa Ga Dy
1 1 2
Cartesian
1.7058 1.7058 4.3746
1.7058 1.7058 0.0000
0.0000 0.0000 6.8132
0.0000 0.0000 1.9359


#iii
PBE Dy2PaGa, optimized geometry; space-group type = No. 166
1.0
3.3738 0.0000 0.0000
1.6869 2.9218 0.0000
1.6869 0.9739 11.4771
Pa Ga Dy
1 1 2
Cartesian
3.3738 1.9479 5.7386
0.0000 0.0000 0.0000
1.6869 0.9739 8.4769
5.0607 2.9218 3.0002


List of relative energies, unit meV/atom: #i 96; #ii 0; #iii 348


#i
PBE DyGaPb, optimized geometry; space-group type = No. 63
1.0
4.2404 0.0000 0.0000
0.0000 4.5532 0.0000
0.0000 -2.2766 7.9386
Dy Ga Pb
2 2 2
Cartesian
1.0601 0.0000 1.3780
3.1803 2.2766 6.5606
1.0601 0.0000 7.1271
3.1803 2.2766 0.8115
1.0601 2.2766 3.7089
3.1803 0.0000 4.2297


#ii
PBE DyGaPb, optimized geometry; space-group type = No. 12
1.0
3.7134 0.0000 0.0000
0.0000 7.5508 1.3100
-1.8567 -2.4712 5.3353
Pb Dy Ga
2 2 2
Cartesian
1.8567 5.6192 1.7328
0.0000 -0.5396 4.9125
0.0000 0.3473 1.8701
1.8567 4.7323 4.7752
1.8567 2.7922 2.4373
0.0000 2.2874 4.2080


#iii
PBE DyGaPb, optimized geometry; space-group type = No. 156
1.0
4.4657 0.0000 0.0000
0.0000 4.4712 0.0000
0.0000 -2.2356 3.8721
Pb Ga Dy
1 1 1
Cartesian
3.2216 2.2356 1.2907
4.3995 0.0000 0.0000
1.3103 0.0000 2.5814


List of relative energies, unit meV/atom: #i 0; #ii 133; #iii 23


#i
PBE Dy3Ga4Pd4, optimized geometry; space-group type = No. 71
1.0
4.0231 0.0000 -1.1076
-0.8018 6.4796 -2.9126
0.0967 -0.2408 8.2117
Dy Ga Pd
3 4 4
Cartesian
0.4310 0.7571 1.5656
2.8869 5.4816 2.6260
-0.4009 3.2398 -1.4563
1.2746 0.6653 4.6298
2.3633 2.9882 0.7239
2.0434 5.5735 -0.4382
0.9547 3.2505 3.4677
0.3253 4.5154 1.1816
2.9927 1.7234 3.0100
1.3687 5.1950 -2.8890
1.8526 1.2846 -1.1312


#ii
PBE Dy3Ga4Pd4, optimized geometry; space-group type = No. 71
1.0
4.4668 0.0000 0.0000
0.0000 3.6204 0.0000
-2.2334 -1.8102 13.2021
Dy Ga Pd
3 4 4
Cartesian
0.0000 1.8102 9.4060
2.2334 0.0000 3.7960
0.0000 0.0000 0.0000
2.2334 0.0000 8.1569
0.0000 0.0000 11.9199
2.2334 1.8102 1.2822
0.0000 1.8102 5.0452
0.0000 0.0000 6.8234
0.0000 1.8102 2.5048
2.2334 0.0000 10.6972
2.2334 1.8102 6.3787


List of relative energies, unit meV/atom: #i 0; #ii 18